Entry 1:
VASP calculation (PBE-GGA) on a relaxed NpOsPd crystal.

The structure in POSCAR format:
```
NpOsPd
1.0
3.3573 0.8264 2.7795
1.3656 4.1703 0.6507
-0.7749 2.0080 3.8791
Pd Np Os
1 1 1
direct
0.7500 0.7500 0.7500
0.2500 0.2500 0.2500
0.0000 0.0000 0.0000
```

Values from the calculation:
The symmetry is F-43m. The energy of formation is 37.9 kJ per mole of atoms.

Entry 2:
VASP calculation (PBE-GGA) on a relaxed NpOsPd crystal.

The structure in POSCAR format:
```
NpOsPd
1.0
0.0000 3.1358 3.1358
3.1358 0.0000 3.1358
3.1358 3.1358 0.0000
Os Np Pd
1 1 1
direct
0.2500 0.2500 0.2500
0.0000 0.0000 0.0000
0.7500 0.7500 0.7500
```

Values from the calculation:
The symmetry is F-43m. The energy of formation is 48.2 kJ per mole of atoms.

Entry 3:
VASP calculation (PBE-GGA) on a relaxed PrNpOs crystal.

The structure in POSCAR format:
```
PrNpOs
1.0
1.8599 -3.0830 3.1198
3.0471 1.5261 3.3293
-1.3378 0.1369 4.5705
Pr Np Os
1 1 1
direct
0.7500 0.7500 0.7500
0.2500 0.2500 0.2500
0.0000 0.0000 0.0000
```

Values from the calculation:
The symmetry is F-43m. The energy of formation is 31.2 kJ per mole of atoms.

Entry 4:
VASP calculation (PBE-GGA) on a relaxed NpOsPt crystal.

The structure in POSCAR format:
```
NpOsPt
1.0
0.0000 3.1419 3.1419
3.1419 0.0000 3.1419
3.1419 3.1419 0.0000
Np Pt Os
1 1 1
direct
0.2500 0.2500 0.2500
0.7500 0.7500 0.7500
0.0000 0.0000 0.0000
```

Values from the calculation:
The symmetry is F-43m. The energy of formation is 27.0 kJ per mole of atoms.

Entry 5:
VASP calculation (PBE-GGA) on a relaxed PuNpOs crystal.

The structure in POSCAR format:
```
PuNpOs
1.0
0.0000 3.0488 3.0488
3.0488 0.0000 3.0488
3.0488 3.0488 0.0000
Np Pu Os
1 1 1
direct
0.2500 0.2500 0.2500
0.0000 0.0000 0.0000
0.7500 0.7500 0.7500
```

Values from the calculation:
The symmetry is F-43m. The energy of formation is 14.9 kJ per mole of atoms.

Entry 6:
VASP calculation (PBE-GGA) on a relaxed NpReOs crystal.

The structure in POSCAR format:
```
NpReOs
1.0
-1.4202 0.7290 4.0761
-4.2918 0.3317 0.7960
-2.0702 -3.1706 2.1964
Os Re Np
1 1 1
direct
0.2500 0.2500 0.2500
0.7500 0.7500 0.7500
0.0000 0.0000 0.0000
```

Values from the calculation:
The symmetry is F-43m. The energy of formation is 93.4 kJ per mole of atoms.

Entry 7:
VASP calculation (PBE-GGA) on a relaxed NpReOs crystal.

The structure in POSCAR format:
```
NpReOs
1.0
0.0000 3.0872 3.0872
3.0872 0.0000 3.0872
3.0872 3.0872 0.0000
Np Os Re
1 1 1
direct
0.0000 0.0000 0.0000
0.5000 0.5000 0.5000
0.2500 0.2500 0.2500
```

Values from the calculation:
The symmetry is F-43m. The energy of formation is 67.8 kJ per mole of atoms.

Entry 8:
VASP calculation (PBE-GGA) on a relaxed NpSiOs crystal.

The structure in POSCAR format:
```
NpSiOs
1.0
-2.5252 -1.1614 3.4030
-4.1349 1.4619 0.2673
-3.3541 -2.7743 -0.5992
Np Os Si
1 1 1
direct
0.2500 0.2500 0.2500
0.0000 0.0000 0.0000
0.7500 0.7500 0.7500
```

Values from the calculation:
The symmetry is F-43m.

Number 1: final energy -9.330 eV per atom, total magnetization 0.974 μB/atom, V 20.58 Å³ per atom. Number 2: final energy -9.224 eV per atom, total magnetization 0.937 μB/atom, V 20.56 Å³ per atom. Number 3: final energy -9.267 eV per atom, total magnetization 1.321 μB/atom, V 25.49 Å³ per atom. Number 4: final energy -9.737 eV per atom, total magnetization 0.902 μB/atom, V 20.68 Å³ per atom. Number 5: final energy -12.553 eV per atom, total magnetization 0.798 μB/atom, V 18.89 Å³ per atom. Number 6: final energy -11.172 eV per atom, total magnetization 0.579 μB/atom, V 19.77 Å³ per atom. Number 7: final energy -11.437 eV per atom, total magnetization 0.953 μB/atom, V 19.62 Å³ per atom. Number 8: final energy -9.713 eV per atom, total magnetization 1.120 μB/atom, V 19.99 Å³ per atom.